Here is a geometry-optimized MnSbS2N structure from Alexandria. Energies are from PBE.

Cell and atoms, written as POSCAR:
```
MnSbS2N
1.0
4.818 0.000 0.000
0.000 4.818 0.000
0.000 0.000 3.537
Mn Sb S N
1 1 2 1
direct
0.000 0.000 0.000
0.500 0.500 0.500
0.000 0.500 0.000
0.500 0.000 0.000
0.000 0.000 0.500
```

E = -29.2 eV per cell
Total magnetic moment = 2.09 μB/f.u.
Raw formation energy = 0.1300 eV/atom
V = 82.1 Å³ per cell
DOS at the Fermi energy = 1.28 states/eV per cell